1.
DFT (PBE-GGA) results for a relaxed BeNbF6 crystal.

For the uncorrected formation energy, the calculation gives -2901 meV/atom. The space-group type is P-1, No. 2.

```
data_BeNbF6
_chemical_formula_sum 'Be1 Nb1 F6'
_cell_length_a 5.062
_cell_length_b 5.088
_cell_length_c 5.211
_cell_angle_alpha 90.26
_cell_angle_beta 117.45
_cell_angle_gamma 119.43
_space_group_name_H-M_alt 'P 1'
_space_group_IT_number 1
loop_
_space_group_symop_operation_xyz
'x,y,z'
loop_
_atom_site_label
_atom_site_type_symbol
_atom_site_fract_x
_atom_site_fract_y
_atom_site_fract_z
_atom_site_occupancy
Be1 Be 0.000 0.000 0.000 1
Nb1 Nb 0.000 0.500 0.500 1
F1 F 0.075 0.758 0.213 1
F2 F 0.085 0.866 0.760 1
F3 F 0.485 0.323 0.242 1
F4 F 0.515 0.677 0.758 1
F5 F 0.915 0.134 0.240 1
F6 F 0.925 0.242 0.787 1
```

2.
DFT (PBE-GGA) results for a relaxed BeNb2F2 crystal.

For the energy above the most stable polymorph in this dataset, the calculation gives 0.765 eV per atom. For the uncorrected formation energy, the calculation gives -342 meV/atom. The space-group type is P4/mbm, No. 127.

```
data_BeNb2F2
_chemical_formula_sum 'Be2 Nb4 F4'
_cell_length_a 7.025
_cell_length_b 7.025
_cell_length_c 2.699
_cell_angle_alpha 90.00
_cell_angle_beta 90.00
_cell_angle_gamma 90.00
_space_group_name_H-M_alt 'P 1'
_space_group_IT_number 1
loop_
_space_group_symop_operation_xyz
'x,y,z'
loop_
_atom_site_label
_atom_site_type_symbol
_atom_site_fract_x
_atom_site_fract_y
_atom_site_fract_z
_atom_site_occupancy
Be1 Be 0.000 0.000 0.000 1
Be2 Be 0.500 0.500 0.000 1
Nb1 Nb 0.207 0.293 0.000 1
Nb2 Nb 0.293 0.793 0.000 1
Nb3 Nb 0.707 0.207 0.000 1
Nb4 Nb 0.793 0.707 0.000 1
F1 F 0.111 0.611 0.500 1
F2 F 0.389 0.111 0.500 1
F3 F 0.611 0.889 0.500 1
F4 F 0.889 0.389 0.500 1
```

3.
DFT (PBE-GGA) results for a relaxed BeNbF crystal.

For the uncorrected formation energy, the calculation gives -910 meV/atom. The space-group type is Amm2, No. 38.

```
data_BeNbF
_chemical_formula_sum 'Be2 Nb2 F2'
_cell_length_a 14.651
_cell_length_b 2.921
_cell_length_c 2.921
_cell_angle_alpha 51.06
_cell_angle_beta 90.00
_cell_angle_gamma 90.00
_space_group_name_H-M_alt 'P 1'
_space_group_IT_number 1
loop_
_space_group_symop_operation_xyz
'x,y,z'
loop_
_atom_site_label
_atom_site_type_symbol
_atom_site_fract_x
_atom_site_fract_y
_atom_site_fract_z
_atom_site_occupancy
Be1 Be 0.000 0.000 0.000 1
Be2 Be 0.500 0.330 0.330 1
Nb1 Nb 0.357 0.009 0.009 1
Nb2 Nb 0.643 0.009 0.009 1
F1 F 0.074 0.500 0.500 1
F2 F 0.926 0.500 0.500 1
```

4.
DFT (PBE-GGA) results for a relaxed BeNbF3 crystal.

For the energy above the most stable polymorph in this dataset, the calculation gives 0.028 eV per atom. For the uncorrected formation energy, the calculation gives -1285 meV/atom. The space-group type is Pm-3m, No. 221.

```
data_BeNbF3
_chemical_formula_sum 'Be1 Nb1 F3'
_cell_length_a 4.266
_cell_length_b 4.266
_cell_length_c 4.266
_cell_angle_alpha 90.00
_cell_angle_beta 90.00
_cell_angle_gamma 90.00
_space_group_name_H-M_alt 'P 1'
_space_group_IT_number 1
loop_
_space_group_symop_operation_xyz
'x,y,z'
loop_
_atom_site_label
_atom_site_type_symbol
_atom_site_fract_x
_atom_site_fract_y
_atom_site_fract_z
_atom_site_occupancy
Be1 Be 0.000 0.000 0.000 1
Nb1 Nb 0.500 0.500 0.500 1
F1 F 0.000 0.500 0.500 1
F2 F 0.500 0.000 0.500 1
F3 F 0.500 0.500 0.000 1
```

5.
DFT (PBE-GGA) results for a relaxed BeNbF3 crystal.

For the energy above the most stable polymorph in this dataset, the calculation gives 0.000 eV per atom. For the uncorrected formation energy, the calculation gives -1314 meV/atom. The space-group type is Pm-3m, No. 221.

```
data_BeNbF3
_chemical_formula_sum 'Be1 Nb1 F3'
_cell_length_a 3.815
_cell_length_b 3.815
_cell_length_c 3.815
_cell_angle_alpha 90.00
_cell_angle_beta 90.00
_cell_angle_gamma 90.00
_space_group_name_H-M_alt 'P 1'
_space_group_IT_number 1
loop_
_space_group_symop_operation_xyz
'x,y,z'
loop_
_atom_site_label
_atom_site_type_symbol
_atom_site_fract_x
_atom_site_fract_y
_atom_site_fract_z
_atom_site_occupancy
Be1 Be 0.000 0.000 0.000 1
Nb1 Nb 0.500 0.500 0.500 1
F1 F 0.000 0.000 0.500 1
F2 F 0.000 0.500 0.000 1
F3 F 0.500 0.000 0.000 1
```

6.
DFT (PBE-GGA) results for a relaxed BeNbO2F crystal.

For the uncorrected formation energy, the calculation gives -1796 meV/atom. The space-group type is P4/mmm, No. 123.

```
data_BeNbO2F
_chemical_formula_sum 'Be1 Nb1 O2 F1'
_cell_length_a 3.799
_cell_length_b 3.799
_cell_length_c 3.029
_cell_angle_alpha 90.00
_cell_angle_beta 90.00
_cell_angle_gamma 90.00
_space_group_name_H-M_alt 'P 1'
_space_group_IT_number 1
loop_
_space_group_symop_operation_xyz
'x,y,z'
loop_
_atom_site_label
_atom_site_type_symbol
_atom_site_fract_x
_atom_site_fract_y
_atom_site_fract_z
_atom_site_occupancy
Be1 Be 0.000 0.000 0.000 1
Nb1 Nb 0.500 0.500 0.500 1
O1 O 0.000 0.500 0.000 1
O2 O 0.500 0.000 0.000 1
F1 F 0.000 0.000 0.500 1
```

7.
DFT (PBE-GGA) results for a relaxed BeNbO2F crystal.

For the uncorrected formation energy, the calculation gives -1327 meV/atom. The space-group type is P4/mmm, No. 123.

```
data_BeNbO2F
_chemical_formula_sum 'Be1 Nb1 O2 F1'
_cell_length_a 3.982
_cell_length_b 3.982
_cell_length_c 4.258
_cell_angle_alpha 90.00
_cell_angle_beta 90.00
_cell_angle_gamma 90.00
_space_group_name_H-M_alt 'P 1'
_space_group_IT_number 1
loop_
_space_group_symop_operation_xyz
'x,y,z'
loop_
_atom_site_label
_atom_site_type_symbol
_atom_site_fract_x
_atom_site_fract_y
_atom_site_fract_z
_atom_site_occupancy
Be1 Be 0.000 0.000 0.000 1
Nb1 Nb 0.500 0.500 0.500 1
O1 O 0.000 0.500 0.500 1
O2 O 0.500 0.000 0.500 1
F1 F 0.500 0.500 0.000 1
```

8.
DFT (PBE-GGA) results for a relaxed Be2NbPF crystal.

For the uncorrected formation energy, the calculation gives 407 meV/atom. The space-group type is P4/mmm, No. 123.

```
data_Be2NbPF
_chemical_formula_sum 'Be2 Nb1 P1 F1'
_cell_length_a 3.968
_cell_length_b 3.968
_cell_length_c 4.253
_cell_angle_alpha 90.00
_cell_angle_beta 90.00
_cell_angle_gamma 90.00
_space_group_name_H-M_alt 'P 1'
_space_group_IT_number 1
loop_
_space_group_symop_operation_xyz
'x,y,z'
loop_
_atom_site_label
_atom_site_type_symbol
_atom_site_fract_x
_atom_site_fract_y
_atom_site_fract_z
_atom_site_occupancy
Be1 Be 0.000 0.500 0.000 1
Be2 Be 0.500 0.000 0.000 1
Nb1 Nb 0.000 0.000 0.500 1
P1 P 0.500 0.500 0.000 1
F1 F 0.500 0.500 0.500 1
```

9.
DFT (PBE-GGA) results for a relaxed Rb2BeNbF6 crystal.

For the uncorrected formation energy, the calculation gives -2529 meV/atom. The space-group type is I4/mmm, No. 139.

```
data_Rb2BeNbF6
_chemical_formula_sum 'Rb2 Be1 Nb1 F6'
_cell_length_a 5.810
_cell_length_b 5.810
_cell_length_c 5.810
_cell_angle_alpha 119.91
_cell_angle_beta 119.91
_cell_angle_gamma 90.16
_space_group_name_H-M_alt 'P 1'
_space_group_IT_number 1
loop_
_space_group_symop_operation_xyz
'x,y,z'
loop_
_atom_site_label
_atom_site_type_symbol
_atom_site_fract_x
_atom_site_fract_y
_atom_site_fract_z
_atom_site_occupancy
Rb1 Rb 0.250 0.750 0.500 1
Rb2 Rb 0.750 0.250 0.500 1
Be1 Be 0.000 0.000 0.000 1
Nb1 Nb 0.500 0.500 0.000 1
F1 F 0.222 0.222 0.000 1
F2 F 0.223 0.223 0.447 1
F3 F 0.223 0.777 0.000 1
F4 F 0.777 0.223 0.000 1
F5 F 0.777 0.777 0.553 1
F6 F 0.778 0.778 0.000 1
```

10.
DFT (PBE-GGA) results for a relaxed BeNbRh2F crystal.

For the uncorrected formation energy, the calculation gives 1119 meV/atom. The space-group type is P4/mmm, No. 123.

```
data_BeNbRh2F
_chemical_formula_sum 'Be1 Nb1 Rh2 F1'
_cell_length_a 4.686
_cell_length_b 4.686
_cell_length_c 4.728
_cell_angle_alpha 90.00
_cell_angle_beta 90.00
_cell_angle_gamma 90.00
_space_group_name_H-M_alt 'P 1'
_space_group_IT_number 1
loop_
_space_group_symop_operation_xyz
'x,y,z'
loop_
_atom_site_label
_atom_site_type_symbol
_atom_site_fract_x
_atom_site_fract_y
_atom_site_fract_z
_atom_site_occupancy
Be1 Be 0.000 0.000 0.000 1
Nb1 Nb 0.000 0.000 0.500 1
Rh1 Rh 0.000 0.500 0.500 1
Rh2 Rh 0.500 0.000 0.500 1
F1 F 0.500 0.500 0.000 1
```

11.
DFT (PBE-GGA) results for a relaxed BeNb2SbF crystal.

For the uncorrected formation energy, the calculation gives 453 meV/atom. The space-group type is P4/mmm, No. 123.

```
data_BeNb2SbF
_chemical_formula_sum 'Be1 Nb2 Sb1 F1'
_cell_length_a 4.540
_cell_length_b 4.540
_cell_length_c 4.318
_cell_angle_alpha 90.00
_cell_angle_beta 90.00
_cell_angle_gamma 90.00
_space_group_name_H-M_alt 'P 1'
_space_group_IT_number 1
loop_
_space_group_symop_operation_xyz
'x,y,z'
loop_
_atom_site_label
_atom_site_type_symbol
_atom_site_fract_x
_atom_site_fract_y
_atom_site_fract_z
_atom_site_occupancy
Be1 Be 0.000 0.000 0.000 1
Nb1 Nb 0.000 0.500 0.000 1
Nb2 Nb 0.500 0.000 0.000 1
Sb1 Sb 0.000 0.000 0.500 1
F1 F 0.500 0.500 0.500 1
```

12.
DFT (PBE-GGA) results for a relaxed BeNbSn2F crystal.

For the uncorrected formation energy, the calculation gives 253 meV/atom. The space-group type is P4/mmm, No. 123.

```
data_BeNbSn2F
_chemical_formula_sum 'Be1 Nb1 Sn2 F1'
_cell_length_a 4.666
_cell_length_b 4.666
_cell_length_c 4.538
_cell_angle_alpha 90.00
_cell_angle_beta 90.00
_cell_angle_gamma 90.00
_space_group_name_H-M_alt 'P 1'
_space_group_IT_number 1
loop_
_space_group_symop_operation_xyz
'x,y,z'
loop_
_atom_site_label
_atom_site_type_symbol
_atom_site_fract_x
_atom_site_fract_y
_atom_site_fract_z
_atom_site_occupancy
Be1 Be 0.000 0.000 0.000 1
Nb1 Nb 0.000 0.000 0.500 1
Sn1 Sn 0.000 0.500 0.000 1
Sn2 Sn 0.500 0.000 0.000 1
F1 F 0.500 0.500 0.500 1
```